# 1
# Ba2HgAs2

Ba2HgAs2 at its PBEsol-relaxed geometry (SCAN, Alexandria via LeMat-Bulk).

Structure (CIF):
```
data_Ba2HgAs2
_symmetry_space_group_name_H-M 'I 4/m m m'
_symmetry_Int_Tables_number 139
_symmetry_space_group_name_Hall '-I 4 2'
_cell_length_a 3.9802
_cell_length_b 3.9802
_cell_length_c 19.4114
_cell_angle_alpha 90.00
_cell_angle_beta 90.00
_cell_angle_gamma 90.00
loop_
_atom_site_label
_atom_site_type_symbol
_atom_site_fract_x
_atom_site_fract_y
_atom_site_fract_z
Ba1 Ba 0.0000 0.0000 0.1149
Hg1 Hg 0.0000 0.0000 0.5000
As1 As 0.0000 0.5000 0.2500
```

Output
formation enthalpy at 0 K	-0.640	eV/atom


# 2
# BaHg2As

BaHg2As at its PBEsol-relaxed geometry (SCAN, Alexandria via LeMat-Bulk).

Structure (CIF):
```
data_BaHg2As
_symmetry_space_group_name_H-M 'I m m m'
_symmetry_Int_Tables_number 71
_symmetry_space_group_name_Hall '-I 2 2'
_cell_length_a 4.4016
_cell_length_b 5.1363
_cell_length_c 9.6202
_cell_angle_alpha 90.00
_cell_angle_beta 90.00
_cell_angle_gamma 90.00
loop_
_atom_site_label
_atom_site_type_symbol
_atom_site_fract_x
_atom_site_fract_y
_atom_site_fract_z
Ba1 Ba 0.0000 0.0000 0.0000
Hg1 Hg 0.0000 0.5000 0.2253
As1 As 0.0000 0.0000 0.5000
```

Output
formation enthalpy at 0 K	-0.508	eV/atom


# 3
# BaHg3As

BaHg3As at its PBEsol-relaxed geometry (SCAN, Alexandria via LeMat-Bulk).

Structure (CIF):
```
data_BaHg3As
_symmetry_space_group_name_H-M 'P m -3 m'
_symmetry_Int_Tables_number 221
_symmetry_space_group_name_Hall '-P 4 2 3'
_cell_length_a 6.1417
_cell_length_b 6.1417
_cell_length_c 6.1417
_cell_angle_alpha 90.00
_cell_angle_beta 90.00
_cell_angle_gamma 90.00
loop_
_atom_site_label
_atom_site_type_symbol
_atom_site_fract_x
_atom_site_fract_y
_atom_site_fract_z
Ba1 Ba 0.0000 0.0000 0.0000
Hg1 Hg 0.0000 0.0000 0.5000
As1 As 0.5000 0.5000 0.5000
```

Output
formation enthalpy at 0 K	0.634	eV/atom


# 4
# BaAs3I

BaAs3I at its PBEsol-relaxed geometry (SCAN, Alexandria via LeMat-Bulk).

Structure (CIF):
```
data_BaAs3I
_symmetry_space_group_name_H-M 'P m -3 m'
_symmetry_Int_Tables_number 221
_symmetry_space_group_name_Hall '-P 4 2 3'
_cell_length_a 5.3678
_cell_length_b 5.3678
_cell_length_c 5.3678
_cell_angle_alpha 90.00
_cell_angle_beta 90.00
_cell_angle_gamma 90.00
loop_
_atom_site_label
_atom_site_type_symbol
_atom_site_fract_x
_atom_site_fract_y
_atom_site_fract_z
Ba1 Ba 0.0000 0.0000 0.0000
As1 As 0.0000 0.5000 0.5000
I1 I 0.5000 0.5000 0.5000
```

Output
formation energy without anion corrections	0.283	eV per atom


So what do the calculations give for magnetic moment? Going down the list: 0.00; 0.00; 0.21; 0.00 μB per atom.
So what do the calculations give for VASP energy? Going down the list: -38.169; -49.526; -52.213; -27.090 eV/atom.
So what do the calculations give for density? Going down the list: 6751; 9367; 5835; 5250 kg/m3.